(1)
First-principles (GGA-PBE) data for Pr3InAg2Hg2Pd after structural relaxation, as listed in OQMD.

Structure (CIF):
```
data_Pr3InAg2Hg2Pd
_cell_length_a 4.0221
_cell_length_b 8.0252
_cell_length_c 8.0252
_cell_angle_alpha 120.79
_cell_angle_beta 90.00
_cell_angle_gamma 90.00
_space_group_name_H-M_alt 'P 1'
_space_group_IT_number 1
loop_
_space_group_symop_operation_xyz
'x,y,z'
loop_
_atom_site_label
_atom_site_type_symbol
_atom_site_fract_x
_atom_site_fract_y
_atom_site_fract_z
_atom_site_occupancy
Pr1 Pr 0.0000 0.0000 0.0000 1
Pr2 Pr 0.0000 0.3785 0.7795 1
Pr3 Pr 0.0000 0.7795 0.3785 1
In1 In 0.5000 0.6354 0.6354 1
Ag1 Ag 0.5000 0.0409 0.7169 1
Ag2 Ag 0.5000 0.7169 0.0409 1
Hg1 Hg 0.5000 0.1224 0.3883 1
Hg2 Hg 0.5000 0.3883 0.1224 1
Pd1 Pd 0.0000 0.3941 0.3941 1
```

Summary:
DFT total energy in eV per atom: -3.64
Magnetization in Bohr magnetons per cell: 0.0



(2)
First-principles (GGA-PBE) data for Ta4AsPN2 after structural relaxation, as listed in OQMD.

Structure (CIF):
```
data_Ta4AsPN2
_cell_length_a 3.2622
_cell_length_b 3.2622
_cell_length_c 11.8129
_cell_angle_alpha 90.00
_cell_angle_beta 90.00
_cell_angle_gamma 120.00
_space_group_name_H-M_alt 'P 1'
_space_group_IT_number 1
loop_
_space_group_symop_operation_xyz
'x,y,z'
loop_
_atom_site_label
_atom_site_type_symbol
_atom_site_fract_x
_atom_site_fract_y
_atom_site_fract_z
_atom_site_occupancy
Ta1 Ta 0.0000 0.0000 0.1442 1
Ta2 Ta 0.0000 0.0000 0.8558 1
Ta3 Ta 0.6667 0.3333 0.3374 1
Ta4 Ta 0.6667 0.3333 0.6626 1
As1 As 0.0000 0.0000 0.5000 1
P1 P 0.6667 0.3333 0.0000 1
N1 N 0.3333 0.6667 0.2456 1
N2 N 0.3333 0.6667 0.7544 1
```

Summary:
DFT total energy in eV per atom: -9.92
Magnetization in Bohr magnetons per cell: 0.0